1.
The following is a DFT calculation (PBE-GGA) of La2Nd3Sm7 after structural relaxation.

Structure (CIF):
```
data_La2Nd3Sm7
_symmetry_space_group_name_H-M 'P 1 2/m 1'
_symmetry_Int_Tables_number 10
_cell_length_a 6.506
_cell_length_b 3.603
_cell_length_c 17.980
_cell_angle_alpha 90.00
_cell_angle_beta 96.30
_cell_angle_gamma 90.00
loop_
_symmetry_equiv_pos_as_xyz
'x,y,z'
'-x,-y,-z'
'-x,y,-z'
'x,-y,z'
loop_
_atom_site_label
_atom_site_type_symbol
_atom_site_fract_x
_atom_site_fract_y
_atom_site_fract_z
_atom_site_occupancy
La1 La 0.056 0.000 0.171 1
Nd1 Nd 0.454 0.500 0.840 1
Nd2 Nd 0.500 0.000 0.500 1
Sm1 Sm 0.000 0.500 0.500 1
Sm2 Sm 0.227 0.000 0.666 1
Sm3 Sm 0.256 0.000 0.000 1
Sm4 Sm 0.273 0.500 0.336 1
```

Results
Calculated volume: 34.908 Å³/atom
Magnetic moment: 0.0 Bohr magnetons per cell
ΔH_f (0 K): 73 meV/atom
DFT total energy: -4.693 eV per atom

---

2.
The following is a DFT calculation (PBE-GGA) of LaNd10Sm6 after structural relaxation.

Structure (CIF):
```
data_LaNd10Sm6
_symmetry_space_group_name_H-M 'P -3 1 m'
_symmetry_Int_Tables_number 162
_symmetry_space_group_name_Hall '-P 3 2'
_cell_length_a 9.9713
_cell_length_b 9.9713
_cell_length_c 7.0015
_cell_angle_alpha 90.00
_cell_angle_beta 90.00
_cell_angle_gamma 120.00
loop_
_atom_site_label
_atom_site_type_symbol
_atom_site_fract_x
_atom_site_fract_y
_atom_site_fract_z
_atom_site_occupancy
La1 La 0.0000 0.0000 0.0000 1
Nd1 Nd 0.0000 0.2743 0.3169 1
Nd2 Nd 0.3333 0.6667 0.0000 1
Nd3 Nd 0.3333 0.6667 0.5000 1
Sm1 Sm 0.0000 0.3753 0.8029 1
```

Results
Calculated volume: 35.463 Å³/atom
Magnetic moment: 0.0 Bohr magnetons per cell
ΔH_f (0 K): 125 meV/atom
DFT total energy: -4.635 eV per atom

---

3.
The following is a DFT calculation (PBE-GGA) of La2Nd3Sm2 after structural relaxation.

Structure (CIF):
```
data_La2Nd3Sm2
_symmetry_space_group_name_H-M 'C 1 2/m 1'
_symmetry_Int_Tables_number 12
_cell_length_a 24.155
_cell_length_b 5.725
_cell_length_c 3.645
_cell_angle_alpha 90.00
_cell_angle_beta 98.61
_cell_angle_gamma 90.00
loop_
_symmetry_equiv_pos_as_xyz
'x,y,z'
'-x,-y,-z'
'-x,y,-z'
'x,-y,z'
'x+1/2,y+1/2,z'
'-x+1/2,-y+1/2,-z'
'-x+1/2,y+1/2,-z'
'x+1/2,-y+1/2,z'
loop_
_atom_site_label
_atom_site_type_symbol
_atom_site_fract_x
_atom_site_fract_y
_atom_site_fract_z
_atom_site_occupancy
La1 La 0.077 0.000 0.077 1
Nd1 Nd 0.000 0.500 0.500 1
Nd2 Nd 0.224 0.000 0.724 1
Sm1 Sm 0.144 0.500 0.643 1
```

Results
Calculated volume: 35.603 Å³/atom
Magnetic moment: 0.0 Bohr magnetons per cell
ΔH_f (0 K): 39 meV/atom
DFT total energy: -4.761 eV per atom

---

Q: What is the magnetic moment in the second record?
A: 0.0 Bohr magnetons per cell